Record 1
First-principles (PBE) data for a relaxed RuSeI2N crystal, as listed in Alexandria.

Computed properties:
The space-group type is No. 123. The calculation puts the electronic total energy at -3.406 eV/atom.

The structure in POSCAR format:
```
RuSeI2N
1.0
5.8920 0.0000 0.0000
0.0000 5.8920 0.0000
0.0000 0.0000 3.6658
Ru Se I N
1 1 2 1
Cartesian
0.0000 0.0000 0.0000 Ru
2.9460 2.9460 1.8329 Se
0.0000 2.9460 1.8329 I
2.9460 0.0000 1.8329 I
2.9460 2.9460 0.0000 N
```

Record 2
First-principles (PBE) data for a relaxed SmCoSn2 crystal, as listed in Alexandria.

Computed properties:
The space-group type is No. 166. The calculation puts the formation energy from the elements at -0.3738 eV per atom.

The structure in POSCAR format:
```
SmCoSn2
1.0
4.3572 0.0000 0.0000
-2.1786 3.7734 0.0000
0.0000 0.0000 16.4003
Sm Co Sn
3 3 6
Cartesian
0.0000 0.0000 0.0000 Sm
0.0000 2.5156 10.9335 Sm
2.1786 1.2578 5.4668 Sm
0.0000 0.0000 8.2001 Co
0.0000 2.5156 2.7334 Co
2.1786 1.2578 13.6669 Co
0.0000 0.0000 3.5988 Sn
0.0000 0.0000 12.8015 Sn
0.0000 2.5156 7.3347 Sn
0.0000 2.5156 14.5324 Sn
2.1786 1.2578 1.8679 Sn
2.1786 1.2578 9.0656 Sn
```

Record 3
First-principles (PBE) data for a relaxed NbSi2BSb crystal, as listed in Alexandria.

Computed properties:
The space-group type is No. 123. The calculation puts the electronic total energy at -4.930 eV/atom.

The structure in POSCAR format:
```
NbSi2BSb
1.0
4.8592 0.0000 0.0000
0.0000 4.8592 0.0000
0.0000 0.0000 5.3370
Nb Si B Sb
1 2 1 1
Cartesian
0.0000 0.0000 0.0000 Nb
0.0000 2.4296 0.0000 Si
2.4296 0.0000 0.0000 Si
2.4296 2.4296 2.6685 B
0.0000 0.0000 2.6685 Sb
```

Record 4
First-principles (PBE) data for a relaxed Ta2InBr crystal, as listed in Alexandria.

Computed properties:
The space-group type is No. 38. The calculation puts the electronic total energy at -6.621 eV/atom.

The structure in POSCAR format:
```
Ta2InBr
1.0
4.8364 0.0000 0.0000
0.0000 2.9980 0.0000
0.0000 0.0000 11.3848
Ta In Br
4 2 2
Cartesian
0.0000 0.0000 0.0000 Ta
0.0000 1.4990 5.6924 Ta
2.4182 0.0000 4.4520 Ta
2.4182 1.4990 10.1444 Ta
0.0000 0.0000 8.5047 In
0.0000 1.4990 2.8123 In
2.4182 0.0000 0.9604 Br
2.4182 1.4990 6.6528 Br
```

Record 5
First-principles (PBE) data for a relaxed Np2AsSe crystal, as listed in Alexandria.

Computed properties:
The space-group type is No. 59. The calculation puts the electronic total energy at -9.396 eV/atom.

The structure in POSCAR format:
```
Np2AsSe
1.0
4.1235 0.0000 0.0000
0.0000 5.8122 0.0000
0.0000 0.0000 8.2019
Np As Se
4 2 2
Cartesian
1.0309 1.4531 0.9971 Np
1.0309 1.4531 5.1435 Np
3.0926 4.3592 3.0583 Np
3.0926 4.3592 7.2048 Np
1.0309 4.3592 1.0394 As
3.0926 1.4531 7.1625 As
1.0309 4.3592 5.1279 Se
3.0926 1.4531 3.0740 Se
```

Record 6
First-principles (PBE) data for a relaxed CoHgPt crystal, as listed in Alexandria.

Computed properties:
The space-group type is No. 156. The calculation puts the formation energy from the elements at 0.2552 eV per atom.

The structure in POSCAR format:
```
CoHgPt
1.0
2.8881 0.0000 0.0000
-1.4440 2.5012 0.0000
0.0000 0.0000 6.7129
Co Hg Pt
1 1 1
Cartesian
0.0000 0.0000 0.0000 Co
0.0000 1.6674 2.2508 Hg
1.4440 0.8337 4.7470 Pt
```

Record 7
First-principles (PBE) data for a relaxed LaAlCr crystal, as listed in Alexandria.

Computed properties:
The space-group type is No. 216. The calculation puts the formation energy from the elements at 0.8244 eV per atom.

The structure in POSCAR format:
```
LaAlCr
1.0
7.0572 0.0000 0.0000
0.0000 7.0572 0.0000
0.0000 0.0000 7.0572
La Al Cr
4 4 4
Cartesian
0.0000 0.0000 0.0000 La
0.0000 3.5286 3.5286 La
3.5286 0.0000 3.5286 La
3.5286 3.5286 0.0000 La
1.7643 1.7643 5.2929 Al
1.7643 5.2929 1.7643 Al
5.2929 1.7643 1.7643 Al
5.2929 5.2929 5.2929 Al
1.7643 1.7643 1.7643 Cr
1.7643 5.2929 5.2929 Cr
5.2929 1.7643 5.2929 Cr
5.2929 5.2929 1.7643 Cr
```

Record 8
First-principles (PBE) data for a relaxed Hf2GaPdO crystal, as listed in Alexandria.

Computed properties:
The space-group type is No. 123. The calculation puts the electronic total energy at -6.330 eV/atom.

The structure in POSCAR format:
```
Hf2GaPdO
1.0
5.1578 0.0000 0.0000
0.0000 5.1578 0.0000
0.0000 0.0000 3.6304
Hf Ga Pd O
2 1 1 1
Cartesian
0.0000 2.5789 0.0000 Hf
2.5789 0.0000 0.0000 Hf
0.0000 0.0000 0.0000 Ga
2.5789 2.5789 1.8152 Pd
0.0000 0.0000 1.8152 O
```

Record 9
First-principles (PBE) data for a relaxed Y2TeIr2 crystal, as listed in Alexandria.

Computed properties:
The space-group type is No. 139. The calculation puts the electronic total energy at -7.344 eV/atom.

The structure in POSCAR format:
```
Y2TeIr2
1.0
5.4271 0.0000 0.0000
0.0000 5.4271 0.0000
0.0000 0.0000 8.1765
Y Te Ir
4 2 4
Cartesian
0.0000 2.7136 2.0441 Y
0.0000 2.7136 6.1324 Y
2.7136 0.0000 2.0441 Y
2.7136 0.0000 6.1324 Y
0.0000 0.0000 0.0000 Te
2.7136 2.7136 4.0883 Te
0.0000 0.0000 2.8457 Ir
0.0000 0.0000 5.3308 Ir
2.7136 2.7136 1.2425 Ir
2.7136 2.7136 6.9340 Ir
```

Record 10
First-principles (PBE) data for a relaxed RbBeZn2W crystal, as listed in Alexandria.

Computed properties:
The space-group type is No. 123. The calculation puts the formation energy from the elements at 1.7656 eV per atom.

The structure in POSCAR format:
```
RbBeZn2W
1.0
5.1707 0.0000 0.0000
0.0000 5.1707 0.0000
0.0000 0.0000 6.5483
Rb Be Zn W
1 1 2 1
Cartesian
0.0000 0.0000 0.0000 Rb
2.5853 2.5853 0.0000 Be
0.0000 2.5853 3.2741 Zn
2.5853 0.0000 3.2741 Zn
0.0000 0.0000 3.2741 W
```

Record 11
First-principles (PBE) data for a relaxed BeFe2CuH crystal, as listed in Alexandria.

Computed properties:
The space-group type is No. 123. The calculation puts the electronic total energy at -5.567 eV/atom.

The structure in POSCAR format:
```
BeFe2CuH
1.0
3.5025 0.0000 0.0000
0.0000 3.5025 0.0000
0.0000 0.0000 3.7511
Be Fe Cu H
1 2 1 1
Cartesian
0.0000 0.0000 0.0000 Be
0.0000 1.7512 1.8755 Fe
1.7512 0.0000 1.8755 Fe
1.7512 1.7512 0.0000 Cu
1.7512 1.7512 1.8755 H
```

Record 12
First-principles (PBE) data for a relaxed MgFe2Br crystal, as listed in Alexandria.

Computed properties:
The space-group type is No. 47. The calculation puts the electronic total energy at -4.567 eV/atom.

The structure in POSCAR format:
```
MgFe2Br
1.0
3.4291 0.0000 0.0000
0.0000 3.4619 0.0000
0.0000 0.0000 5.8346
Mg Fe Br
1 2 1
Cartesian
0.0000 0.0000 0.0000 Mg
1.7145 1.7309 1.1556 Fe
1.7145 1.7309 4.6791 Fe
0.0000 0.0000 2.9173 Br
```

What is the formula in the tenth record? RbBeZn2W